## A
Computed, not measured: crystalline PrSnH at its relaxed geometry at the PBE level of DFT.

It has space group Cmme (No. 67), with a = 5.3700 Å, b = 5.8302 Å, c = 8.1750 Å, α = 90.00°, β = 90.00° and γ = 90.00°. The distinct sites, in fractional coordinates, are Pr at (0.0000, 0.2500, 0.1696), Sn at (0.0000, 0.2500, 0.5854) and H at (0.2500, 0.0000, 0.0000).

For the size of the total moment, the calculation gives 0.0 μB/f.u.

---

## B
Computed, not measured: crystalline PrSnH at its relaxed geometry at the PBE level of DFT.

It has space group I4mm (No. 107), with a = 3.3413 Å, b = 3.3413 Å, c = 11.7081 Å, α = 90.00°, β = 90.00° and γ = 90.00°. The distinct sites, in fractional coordinates, are Pr at (0.0000, 0.0000, 0.0000), Sn at (0.0000, 0.0000, 0.2829) and H at (0.0000, 0.0000, 0.5445).

For the size of the total moment, the calculation gives 0.0 μB/f.u.

---

## C
Computed, not measured: crystalline PrSnH at its relaxed geometry at the PBE level of DFT.

It has space group P2_1/m (No. 11), with a = 4.3687 Å, b = 4.4395 Å, c = 6.6593 Å, α = 90.00°, β = 109.17° and γ = 90.00°. The distinct sites, in fractional coordinates, are Pr at (0.1547, 0.2500, 0.3112), Sn at (0.4301, 0.2500, 0.8569) and H at (0.2542, 0.7500, 0.5086).

For the size of the total moment, the calculation gives 0.0 μB/f.u.

---

## D
Computed, not measured: crystalline PrSnH at its relaxed geometry at the PBE level of DFT.

It has space group P-6m2 (No. 187), with a = 3.8379 Å, b = 3.8379 Å, c = 5.2411 Å, α = 90.00°, β = 90.00° and γ = 120.00°. The distinct sites, in fractional coordinates, are Pr at (0.0000, 0.0000, 0.0000), Sn at (0.6667, 0.3333, 0.5000) and H at (0.3333, 0.6667, 0.0000).

For the size of the total moment, the calculation gives 0.0 μB/f.u.

---

Top of the stability list: C, leading by 125 meV/atom.

---

## A
Computed, not measured: crystalline Pr3TeH at its relaxed geometry at the PBE level of DFT.

It has space group Pm-3m (No. 221), with a = 4.9886 Å, b = 4.9886 Å, c = 4.9886 Å, α = 90.00°, β = 90.00° and γ = 90.00°. The distinct sites, in fractional coordinates, are Pr at (0.0000, 0.0000, 0.5000), Te at (0.5000, 0.5000, 0.5000) and H at (0.0000, 0.0000, 0.0000).

For the size of the total moment, the calculation gives 0.0 μB/f.u.

---

## B
Computed, not measured: crystalline Pr3TeH at its relaxed geometry at the PBE level of DFT.

It has space group P2_1/m (No. 11), with a = 7.8148 Å, b = 4.0133 Å, c = 8.7921 Å, α = 90.00°, β = 95.44° and γ = 90.00°. The distinct sites, in fractional coordinates, are Pr at (0.0652, 0.2500, 0.3334), Pr at (0.2713, 0.2500, 0.9415), Pr at (0.3672, 0.7500, 0.6106), Te at (0.3611, 0.7500, 0.2213) and H at (0.1503, 0.2500, 0.6318).

For the size of the total moment, the calculation gives 0.0 μB/f.u.

---

Top of the stability list: B, leading by 51 meV/atom.

---

## A
Computed, not measured: crystalline Pr2TeH at its relaxed geometry at the PBE level of DFT.

It has space group P2_1/c (No. 14), with a = 8.1849 Å, b = 6.4560 Å, c = 7.8268 Å, α = 90.00°, β = 100.98° and γ = 90.00°. The distinct sites, in fractional coordinates, are Pr at (0.0422, 0.1442, 0.3215), Pr at (0.3302, 0.6587, 0.5212), Te at (0.3372, 0.1350, 0.6670) and H at (0.2023, 0.6562, 0.7671).

For the size of the total moment, the calculation gives 0.0 μB/f.u.

---

## B
Computed, not measured: crystalline Pr2TeH at its relaxed geometry at the PBE level of DFT.

It has space group R-3m (No. 166, hexagonal axes), with a = 4.0151 Å, b = 4.0151 Å, c = 21.8557 Å, α = 90.00°, β = 90.00° and γ = 120.00°. The distinct sites, in fractional coordinates, are Pr at (0.0000, 0.0000, 0.2328), Te at (0.0000, 0.0000, 0.0000) and H at (0.0000, 0.0000, 0.5000).

For the size of the total moment, the calculation gives 0.0 μB/f.u.

---

Top of the stability list: A, leading by 105 meV/atom.

---

## A
Computed, not measured: crystalline PrThH2 at its relaxed geometry at the PBE level of DFT.

It has space group R3m (No. 160, hexagonal axes), with a = 3.5372 Å, b = 3.5372 Å, c = 19.2540 Å, α = 90.00°, β = 90.00° and γ = 120.00°. The distinct sites, in fractional coordinates, are Pr at (0.0000, 0.0000, 0.0000), Th at (0.0000, 0.0000, 0.8267), H at (0.0000, 0.0000, 0.4132) and H at (0.0000, 0.0000, 0.5821).

For the size of the total moment, the calculation gives 0.0 μB/f.u.

---

## B
Computed, not measured: crystalline PrThH2 at its relaxed geometry at the PBE level of DFT.

It has space group R-3m (No. 166, hexagonal axes), with a = 3.6525 Å, b = 3.6525 Å, c = 18.0484 Å, α = 90.00°, β = 90.00° and γ = 120.00°. The distinct sites, in fractional coordinates, are Pr at (0.0000, 0.0000, 0.0000), Th at (0.0000, 0.0000, 0.5000) and H at (0.0000, 0.0000, 0.2461).

For the size of the total moment, the calculation gives 0.0 μB/f.u.

---

Top of the stability list: B, leading by 112 meV/atom.